[1]
{"formula": "RbFeCo2Ir", "functional": "PBE", "state": "relaxed", "formation_enthalpy_0k_ev_per_atom": 2.7542, "cell": [[4.411, 0.000, 0.000], [0.000, 4.566, 0.000], [0.000, 0.000, 4.411]], "species": ["Co", "Ir", "Rb", "Co", "Fe"], "fractional_positions": [[0.500, 0.000, 0.000], [0.500, 0.500, 0.500], [0.000, 0.000, 0.000], [0.000, 0.000, 0.500], [0.000, 0.500, 0.000]]}

[2]
{"formula": "Fe2CoIr4Ru", "functional": "PBE", "state": "relaxed", "formation_enthalpy_0k_ev_per_atom": 0.1747, "cell": [[-3.118, 0.731, -3.392], [-3.628, -4.260, -0.791], [-5.369, 0.129, 1.756]], "species": ["Ir", "Ir", "Ir", "Co", "Fe", "Ru", "Fe", "Ir"], "fractional_positions": [[0.488, 0.131, 0.386], [0.512, 0.614, 0.869], [0.995, 0.386, 0.131], [0.000, 0.500, 0.500], [0.500, 0.752, 0.248], [0.000, 0.000, 0.000], [0.500, 0.248, 0.752], [0.005, 0.869, 0.614]]}

[3]
{"formula": "Fe2CoSbIr", "functional": "PBE", "state": "relaxed", "raw_formation_energy_ev_per_atom": 1.66, "cell": [[4.465, 0.000, 0.000], [0.000, 5.009, 0.000], [0.000, 0.000, 4.465]], "species": ["Ir", "Fe", "Fe", "Co", "Sb"], "fractional_positions": [[0.000, 0.000, 0.000], [0.000, 0.000, 0.500], [0.500, 0.000, 0.000], [0.500, 0.500, 0.500], [0.000, 0.500, 0.000]]}

[4]
{"formula": "ScFeCo2Ir", "functional": "PBE", "state": "relaxed", "formation_enthalpy_0k_ev_per_atom": 0.8483, "cell": [[-2.146, 1.953, 2.905], [2.326, -2.219, 3.209], [2.799, 3.004, 0.048]], "species": ["Ir", "Sc", "Co", "Fe", "Co"], "fractional_positions": [[0.500, 0.500, 0.500], [0.000, 0.500, 0.000], [0.000, 0.000, 0.500], [0.000, 0.000, 0.000], [0.500, 0.000, 0.000]]}

[5]
{"formula": "FeCoSiIr", "functional": "PBE", "state": "relaxed", "raw_formation_energy_ev_per_atom": -0.30, "cell": [[4.126, 0.000, 0.000], [2.063, 3.573, 0.000], [2.063, 1.191, 3.369]], "species": ["Ir", "Fe", "Co", "Si"], "fractional_positions": [[0.000, 0.000, 0.000], [0.250, 0.250, 0.250], [0.500, 0.500, 0.500], [0.750, 0.750, 0.750]]}

[6]
{"formula": "TaFeCoIr", "functional": "PBE", "state": "relaxed", "formation_enthalpy_0k_ev_per_atom": -0.3370, "cell": [[3.731, 0.000, 0.000], [0.000, 3.814, 0.000], [0.000, 0.000, 3.760]], "species": ["Fe", "Co", "Ir", "Ta"], "fractional_positions": [[0.000, 0.500, 0.500], [0.000, 0.000, 0.000], [0.500, 0.500, 0.000], [0.500, 0.000, 0.500]]}

[7]
{"formula": "FeCo2TcIr", "functional": "PBE", "state": "relaxed", "formation_enthalpy_0k_ev_per_atom": 1.9235, "cell": [[-3.021, -2.270, -2.101], [2.413, 0.488, -3.995], [2.151, -3.652, 0.853]], "species": ["Co", "Ir", "Tc", "Co", "Fe"], "fractional_positions": [[0.000, 0.000, 0.500], [0.000, 0.500, 0.000], [0.000, 0.000, 0.000], [0.500, 0.000, 0.000], [0.500, 0.500, 0.500]]}

[8]
{"formula": "FeCo2TcIr", "functional": "PBE", "state": "relaxed", "formation_enthalpy_0k_ev_per_atom": 1.6413, "cell": [[4.516, 0.000, 0.000], [0.000, 4.644, 0.000], [0.000, 0.000, 4.516]], "species": ["Co", "Ir", "Co", "Tc", "Fe"], "fractional_positions": [[0.000, 0.000, 0.500], [0.000, 0.000, 0.000], [0.500, 0.000, 0.000], [0.000, 0.500, 0.000], [0.500, 0.500, 0.500]]}

no.,electronic total energy (eV per atom),volume (Å³ per cell)
1,-3.746,88.83
2,-8.419,109.93
3,-5.743,99.87
4,-6.725,76.58
5,-7.759,49.65
6,-9.408,53.49
7,-6.457,87.73
8,-6.739,94.72